DFT (PBE) results for a geometry-optimized AlTcNi structure. Values from VASP.

E_form (eV/f.u.): -0.8
Polymorph energy (0 for the lowest one) (meV/atom): 13
Uncorrected energy (eV/atom): -6.88

```
&SYSTEM
  ibrav = 0, nat = 6, ntyp = 3
/
ATOMIC_SPECIES
Al 26.98 Al.upf
Tc 98.00 Tc.upf
Ni 58.69 Ni.upf
CELL_PARAMETERS angstrom
5.019 -1.360 0.000
5.019 1.360 0.000
-3.892 0.000 5.795
ATOMIC_POSITIONS crystal
Al 0.141 0.141 0.035
Al 0.859 0.859 0.965
Tc 0.384 0.384 0.653
Tc 0.616 0.616 0.347
Ni 0.128 0.128 0.678
Ni 0.872 0.872 0.322
```